Run i
! meta-GGA SCAN SrMoBr2, PBEsol geometry; values from VASP
! space group = P4mm
&SYSTEM
  ibrav = 0, nat = 4, ntyp = 3
/
ATOMIC_SPECIES
Sr 87.62 Sr.upf
Br 79.90 Br.upf
Mo 95.94 Mo.upf
CELL_PARAMETERS angstrom
4.133 0.000 0.000
0.000 4.133 0.000
0.000 0.000 6.092
ATOMIC_POSITIONS crystal
Sr 0.500 0.500 0.796
Br 0.000 0.000 0.918
Br 0.500 0.500 0.314
Mo 0.000 0.000 0.472



Run ii
! meta-GGA SCAN SrMoBr2, PBEsol geometry; values from VASP
! space group = R3m
&SYSTEM
  ibrav = 0, nat = 4, ntyp = 3
/
ATOMIC_SPECIES
Br 79.90 Br.upf
Mo 95.94 Mo.upf
Sr 87.62 Sr.upf
CELL_PARAMETERS angstrom
-2.244 -2.705 0.660
-0.393 -1.224 3.337
-7.865 4.836 2.763
ATOMIC_POSITIONS crystal
Br 0.769 0.769 0.692
Br 0.991 0.991 0.026
Mo 0.489 0.489 0.534
Sr 0.251 0.251 0.248



Run iii
! meta-GGA SCAN SrMoBr2, PBEsol geometry; values from VASP
! space group = R-3m
&SYSTEM
  ibrav = 0, nat = 4, ntyp = 3
/
ATOMIC_SPECIES
Br 79.90 Br.upf
Sr 87.62 Sr.upf
Mo 95.94 Mo.upf
CELL_PARAMETERS angstrom
-0.607 -1.275 3.591
-3.078 -2.195 0.774
3.619 -8.594 -0.366
ATOMIC_POSITIONS crystal
Br 0.116 0.116 0.653
Br 0.884 0.884 0.347
Sr 0.000 0.000 0.000
Mo 0.500 0.500 0.500



What should be chosen as the most stable of them? Choose run i.



Run i
! meta-GGA SCAN SrMoBr2, PBEsol geometry; values from VASP
! space group = Amm2
&SYSTEM
  ibrav = 0, nat = 4, ntyp = 3
/
ATOMIC_SPECIES
Mo 95.94 Mo.upf
Br 79.90 Br.upf
Sr 87.62 Sr.upf
CELL_PARAMETERS angstrom
3.867 0.000 -0.006
0.000 4.598 0.000
-1.922 0.000 6.060
ATOMIC_POSITIONS crystal
Mo 0.816 0.000 0.506
Br 0.031 0.000 0.937
Br 0.711 0.500 0.298
Sr 0.442 0.500 0.759



Run ii
! meta-GGA SCAN SrMoBr2, PBEsol geometry; values from VASP
! space group = I-42d
&SYSTEM
  ibrav = 0, nat = 8, ntyp = 3
/
ATOMIC_SPECIES
Sr 87.62 Sr.upf
Br 79.90 Br.upf
Mo 95.94 Mo.upf
CELL_PARAMETERS angstrom
5.239 0.000 0.000
0.000 5.239 0.000
-2.619 -2.619 8.626
ATOMIC_POSITIONS crystal
Sr 0.750 0.250 0.500
Sr 0.500 0.500 0.000
Br 0.323 0.875 0.250
Br 0.125 0.073 0.750
Br 0.625 0.677 0.750
Br 0.927 0.375 0.250
Mo 0.250 0.750 0.500
Mo 0.000 0.000 0.000



What should be chosen as the most stable of them? Choose run i.



Run i
! meta-GGA SCAN Ta2MoBr, PBEsol geometry; values from VASP
! space group = Imm2
&SYSTEM
  ibrav = 0, nat = 4, ntyp = 3
/
ATOMIC_SPECIES
Br 79.90 Br.upf
Mo 95.94 Mo.upf
Ta 180.95 Ta.upf
CELL_PARAMETERS angstrom
3.169 0.000 0.000
0.000 4.445 0.000
-1.585 -2.223 4.835
ATOMIC_POSITIONS crystal
Br 0.526 0.526 0.052
Mo 0.246 0.746 0.493
Ta 0.745 0.245 0.489
Ta 0.983 0.983 0.967



Run ii
! meta-GGA SCAN Ta2MoBr, PBEsol geometry; values from VASP
! space group = F-43m
&SYSTEM
  ibrav = 0, nat = 4, ntyp = 3
/
ATOMIC_SPECIES
Mo 95.94 Mo.upf
Ta 180.95 Ta.upf
Br 79.90 Br.upf
CELL_PARAMETERS angstrom
-3.075 -2.944 -1.726
0.193 -4.448 1.131
-3.219 -1.819 2.726
ATOMIC_POSITIONS crystal
Mo 0.250 0.250 0.250
Ta 0.000 0.000 0.000
Ta 0.750 0.750 0.750
Br 0.500 0.500 0.500



What should be chosen as the most stable of them? Choose run i.



Run i
! meta-GGA SCAN Ta2MoBr, PBEsol geometry; values from VASP
! space group = P4mm
&SYSTEM
  ibrav = 0, nat = 4, ntyp = 3
/
ATOMIC_SPECIES
Mo 95.94 Mo.upf
Ta 180.95 Ta.upf
Br 79.90 Br.upf
CELL_PARAMETERS angstrom
-1.155 -0.533 2.926
2.974 -0.167 1.143
-0.086 7.073 1.255
ATOMIC_POSITIONS crystal
Mo 0.500 0.500 0.794
Ta 0.500 0.500 0.220
Ta 0.000 0.000 0.989
Br 0.000 0.000 0.497



Run ii
! meta-GGA SCAN Ta2MoBr, PBEsol geometry; values from VASP
! space group = P2/m
&SYSTEM
  ibrav = 0, nat = 4, ntyp = 3
/
ATOMIC_SPECIES
Ta 180.95 Ta.upf
Mo 95.94 Mo.upf
Br 79.90 Br.upf
CELL_PARAMETERS angstrom
-1.670 -0.929 -2.331
4.158 -1.038 -2.565
-1.777 -3.798 2.787
ATOMIC_POSITIONS crystal
Ta 0.000 0.000 0.000
Ta 0.500 0.000 0.500
Mo 0.000 0.500 0.500
Br 0.500 0.500 0.000



What should be chosen as the most stable of them? Choose run i.



Run i
! meta-GGA SCAN TaMoBr2, PBEsol geometry; values from VASP
! space group = Cm
&SYSTEM
  ibrav = 0, nat = 4, ntyp = 3
/
ATOMIC_SPECIES
Mo 95.94 Mo.upf
Br 79.90 Br.upf
Ta 180.95 Ta.upf
CELL_PARAMETERS angstrom
3.178 0.000 0.000
-1.589 4.573 0.110
0.000 -0.704 6.719
ATOMIC_POSITIONS crystal
Mo 0.428 0.856 0.347
Br 0.061 0.121 0.086
Br 0.304 0.609 0.677
Ta 0.707 0.414 0.390



Run ii
! meta-GGA SCAN TaMoBr2, PBEsol geometry; values from VASP
! space group = P4mm
&SYSTEM
  ibrav = 0, nat = 4, ntyp = 3
/
ATOMIC_SPECIES
Br 79.90 Br.upf
Mo 95.94 Mo.upf
Ta 180.95 Ta.upf
CELL_PARAMETERS angstrom
3.050 0.000 0.000
0.000 3.050 0.000
0.000 0.000 8.447
ATOMIC_POSITIONS crystal
Br 0.000 0.000 0.942
Br 0.500 0.500 0.317
Mo 0.000 0.000 0.503
Ta 0.500 0.500 0.738



What should be chosen as the most stable of them? Choose run ii.



Run i
! meta-GGA SCAN TcMo2Br, PBEsol geometry; values from VASP
! space group = P4/mmm
&SYSTEM
  ibrav = 0, nat = 4, ntyp = 3
/
ATOMIC_SPECIES
Mo 95.94 Mo.upf
Br 79.90 Br.upf
Tc 98.00 Tc.upf
CELL_PARAMETERS angstrom
2.910 0.000 0.000
0.000 4.569 0.000
0.000 0.000 4.569
ATOMIC_POSITIONS crystal
Mo 0.000 0.000 0.500
Mo 0.000 0.500 0.000
Br 0.500 0.000 0.000
Tc 0.500 0.500 0.500



Run ii
! meta-GGA SCAN TcMo2Br, PBEsol geometry; values from VASP
! space group = R-3m
&SYSTEM
  ibrav = 0, nat = 4, ntyp = 3
/
ATOMIC_SPECIES
Mo 95.94 Mo.upf
Br 79.90 Br.upf
Tc 98.00 Tc.upf
CELL_PARAMETERS angstrom
2.899 0.000 0.000
1.450 2.511 0.000
1.450 0.837 8.569
ATOMIC_POSITIONS crystal
Mo 0.751 0.751 0.746
Mo 0.249 0.249 0.254
Br 0.000 0.000 0.000
Tc 0.500 0.500 0.500



What should be chosen as the most stable of them? Choose run ii.



Run i
! meta-GGA SCAN Tc2MoBr, PBEsol geometry; values from VASP
! space group = Cmmm
&SYSTEM
  ibrav = 0, nat = 4, ntyp = 3
/
ATOMIC_SPECIES
Mo 95.94 Mo.upf
Br 79.90 Br.upf
Tc 98.00 Tc.upf
CELL_PARAMETERS angstrom
-0.009 -2.749 0.723
2.159 0.772 -1.680
4.799 1.825 7.005
ATOMIC_POSITIONS crystal
Mo 0.500 0.500 0.000
Br 0.500 0.500 0.500
Tc 0.000 0.000 0.231
Tc 0.000 0.000 0.769



Run ii
! meta-GGA SCAN Tc2MoBr, PBEsol geometry; values from VASP
! space group = P2/m
&SYSTEM
  ibrav = 0, nat = 4, ntyp = 3
/
ATOMIC_SPECIES
Br 79.90 Br.upf
Tc 98.00 Tc.upf
Mo 95.94 Mo.upf
CELL_PARAMETERS angstrom
2.920 0.000 -0.001
0.000 4.085 0.000
-1.327 0.000 5.138
ATOMIC_POSITIONS crystal
Br 0.500 0.500 0.000
Tc 0.125 0.000 0.737
Tc 0.875 0.000 0.263
Mo 0.500 0.500 0.500



What should be chosen as the most stable of them? Choose run i.



Run i
! meta-GGA SCAN MoWBr2, PBEsol geometry; values from VASP
! space group = I-4m2
&SYSTEM
  ibrav = 0, nat = 4, ntyp = 3
/
ATOMIC_SPECIES
Mo 95.94 Mo.upf
Br 79.90 Br.upf
W 183.84 W.upf
CELL_PARAMETERS angstrom
4.198 0.000 0.000
0.000 4.198 0.000
-2.099 -2.099 3.927
ATOMIC_POSITIONS crystal
Mo 0.500 0.500 0.000
Br 0.000 0.000 0.000
Br 0.750 0.250 0.500
W 0.250 0.750 0.500



Run ii
! meta-GGA SCAN MoWBr2, PBEsol geometry; values from VASP
! space group = P4/mmm
&SYSTEM
  ibrav = 0, nat = 4, ntyp = 3
/
ATOMIC_SPECIES
Br 79.90 Br.upf
W 183.84 W.upf
Mo 95.94 Mo.upf
CELL_PARAMETERS angstrom
-1.555 0.931 -2.613
-2.840 -3.422 0.470
-2.674 2.563 2.504
ATOMIC_POSITIONS crystal
Br 0.000 0.500 0.000
Br 0.000 0.000 0.500
W 0.500 0.000 0.000
Mo 0.500 0.500 0.500



Run iii
! meta-GGA SCAN MoWBr2, PBEsol geometry; values from VASP
! space group = R-3m
&SYSTEM
  ibrav = 0, nat = 4, ntyp = 3
/
ATOMIC_SPECIES
Br 79.90 Br.upf
Mo 95.94 Mo.upf
W 183.84 W.upf
CELL_PARAMETERS angstrom
-2.789 -1.040 0.654
-0.416 -1.845 2.390
-2.466 6.025 6.165
ATOMIC_POSITIONS crystal
Br 0.906 0.906 0.282
Br 0.094 0.094 0.718
Mo 0.500 0.500 0.500
W 0.000 0.000 0.000



What should be chosen as the most stable of them? Choose run iii.